No. 1
VASP calculation (PBE) on a relaxed structure of Ni4Te.

Cell lengths 5.5216, 5.5216, 5.5216 Å; angles 90.00, 90.00, 90.00 degrees
Space group Im-3m (No. 229)
Inequivalent atoms, fractional coordinates:
Ni  0.2500  0.2500  0.2500 x8
Te  0.0000  0.0000  0.0000 x2

Output
ΔE to the lowest computed polymorph: 0.587 eV/atom
formation energy without anion corrections: 0.62 eV per atom
V: 16.8 Å³/atom

=====

No. 2
VASP calculation (PBE) on a relaxed structure of Sr2Se.

Cell lengths 7.3700, 7.6241, 4.3401 Å; angles 90.00, 90.00, 90.00 degrees
Space group Pnnm (No. 58)
Inequivalent atoms, fractional coordinates:
Sr  0.2474  0.1706  0.0000 x4
Se  0.0000  0.5000  0.0000 x2

Output
formation energy without anion corrections: -1.20 eV per atom
V: 40.6 Å³/atom

=====

No. 3
VASP calculation (PBE) on a relaxed structure of Pa2Ge3PdRh4.

Cell lengths 3.9610, 3.9610, 11.4217 Å; angles 90.00, 90.00, 90.00 degrees
Space group P-4m2 (No. 115)
Inequivalent atoms, fractional coordinates:
Pa  0.0000  0.5000  0.2424 x2
Ge  0.0000  0.0000  0.0000 x1
Ge  0.0000  0.5000  0.6234 x2
Pd  0.5000  0.5000  0.0000 x1
Rh  0.0000  0.0000  0.5000 x1
Rh  0.0000  0.5000  0.8343 x2
Rh  0.5000  0.5000  0.5000 x1

Output
calculated formation energy: -713 meV/atom
V: 17.9 Å³/atom

=====

No. 4
VASP calculation (PBE) on a relaxed structure of BeCoS2N.

Cell lengths 4.6325, 4.6325, 3.3261 Å; angles 90.00, 90.00, 90.00 degrees
Space group P4/mmm (No. 123)
Inequivalent atoms, fractional coordinates:
Be  0.0000  0.0000  0.0000 x1
Co  0.5000  0.5000  0.5000 x1
S  0.0000  0.5000  0.5000 x2
N  0.5000  0.5000  0.0000 x1

Output
ΔE to the lowest computed polymorph: 0.000 eV/atom
formation energy without anion corrections: 0.67 eV per atom
V: 14.3 Å³/atom

=====

No. 5
VASP calculation (PBE) on a relaxed structure of TaCoSb2.

Cell lengths 6.6658, 6.6658, 6.6658 Å; angles 90.00, 90.00, 90.00 degrees
Space group Fm-3m (No. 225)
Inequivalent atoms, fractional coordinates:
Ta  0.0000  0.0000  0.0000 x4
Co  0.0000  0.0000  0.5000 x4
Sb  0.2500  0.2500  0.2500 x8

Output
formation energy without anion corrections: 0.35 eV per atom
V: 18.5 Å³/atom

=====

No. 6
VASP calculation (PBE) on a relaxed structure of Zr3TaAl.

Cell lengths 4.9494, 4.9494, 4.9494 Å; angles 90.00, 90.00, 90.00 degrees
Space group Pm-3m (No. 221)
Inequivalent atoms, fractional coordinates:
Zr  0.0000  0.0000  0.5000 x3
Ta  0.5000  0.5000  0.5000 x1
Al  0.0000  0.0000  0.0000 x1

Output
ΔE to the lowest computed polymorph: 0.026 eV/atom
calculated formation energy: 974 meV/atom
V: 24.2 Å³/atom

=====

No. 7
VASP calculation (PBE) on a relaxed structure of PrNd4Dy8.

Cell lengths 7.8458, 7.8458, 7.8458 Å; angles 90.00, 90.00, 90.00 degrees
Space group Pm-3m (No. 221)
Inequivalent atoms, fractional coordinates:
Pr  0.0000  0.0000  0.0000 x1
Nd  0.0000  0.0000  0.5000 x3
Nd  0.5000  0.5000  0.5000 x1
Dy  0.2614  0.2614  0.2614 x8

Output
calculated formation energy: 516 meV/atom
V: 37.2 Å³/atom

=====

No. 8
VASP calculation (PBE) on a relaxed structure of SrCuTe2.

Cell lengths 13.1470, 4.3328, 4.3344 Å; angles 90.00, 109.17, 90.00 degrees
Space group Cm (No. 8)
Inequivalent atoms, fractional coordinates:
Sr  0.0000  0.0000  0.0000 x2
Cu  0.2497  0.5000  0.2511 x2
Te  0.1371  0.5000  0.6390 x2
Te  0.3625  0.0000  0.3609 x2

Output
formation energy without anion corrections: -0.77 eV per atom
V: 29.2 Å³/atom

=====

No. 9
VASP calculation (PBE) on a relaxed structure of Ac8CdPb2.

Cell lengths 21.1777, 5.6834, 7.5960 Å; angles 90.00, 103.31, 90.00 degrees
Space group C2/m (No. 12)
Inequivalent atoms, fractional coordinates:
Ac  0.0182  0.0000  0.2694 x4
Ac  0.0908  0.5000  0.9723 x4
Ac  0.1574  0.5000  0.4940 x4
Ac  0.2089  0.0000  0.8287 x4
Cd  0.0000  0.5000  0.5000 x2
Pb  0.1829  0.0000  0.2625 x4

Output
calculated formation energy: -198 meV/atom
V: 40.4 Å³/atom

=====

No. 10
VASP calculation (PBE) on a relaxed structure of LaZnRu2.

Cell lengths 2.9118, 3.6837, 7.0001 Å; angles 90.00, 90.00, 90.00 degrees
Space group Pmm2 (No. 25)
Inequivalent atoms, fractional coordinates:
La  0.0000  0.0000  0.0000 x1
Zn  0.5000  0.5000  0.6761 x1
Ru  0.0000  0.0000  0.4618 x1
Ru  0.5000  0.5000  0.3041 x1

Output
calculated formation energy: 56 meV/atom
V: 18.8 Å³/atom

=====

No. 11
VASP calculation (PBE) on a relaxed structure of Mg2ZrSc2.

Cell lengths 4.0924, 4.0924, 14.8625 Å; angles 90.00, 90.00, 90.00 degrees
Space group I4/mmm (No. 139)
Inequivalent atoms, fractional coordinates:
Mg  0.0000  0.5000  0.2500 x4
Zr  0.0000  0.0000  0.0000 x2
Sc  0.0000  0.0000  0.4073 x4

Output
ΔE to the lowest computed polymorph: 0.453 eV/atom
calculated formation energy: 393 meV/atom
V: 24.9 Å³/atom

=====

No. 12
VASP calculation (PBE) on a relaxed structure of SrGe2Ru2.

Cell lengths 4.3532, 4.3532, 10.3659 Å; angles 90.00, 90.00, 90.00 degrees
Space group I4/mmm (No. 139)
Inequivalent atoms, fractional coordinates:
Sr  0.0000  0.0000  0.0000 x2
Ge  0.0000  0.0000  0.3592 x4
Ru  0.0000  0.5000  0.2500 x4

Output
calculated formation energy: -502 meV/atom
V: 19.6 Å³/atom

=====

No. 13
VASP calculation (PBE) on a relaxed structure of Be7Cd.

Cell lengths 6.8200, 6.8200, 6.8200 Å; angles 90.00, 90.00, 90.00 degrees
Space group Fm-3m (No. 225)
Inequivalent atoms, fractional coordinates:
Be  0.0000  0.0000  0.0000 x4
Be  0.0000  0.2500  0.2500 x24
Cd  0.0000  0.0000  0.5000 x4

Output
calculated formation energy: 386 meV/atom
V: 9.9 Å³/atom

=====

No. 14
VASP calculation (PBE) on a relaxed structure of LiCdSn.

Cell lengths 5.1012, 5.3806, 5.9054 Å; angles 79.47, 67.13, 61.76 degrees
Space group P-1 (No. 2)
Inequivalent atoms, fractional coordinates:
Li  0.1056  0.2889  0.2504 x2
Cd  0.2301  0.0387  0.7500 x2
Sn  0.4370  0.6268  0.2503 x2

Output
calculated formation energy: -194 meV/atom
V: 21.9 Å³/atom

=====

No. 15
VASP calculation (PBE) on a relaxed structure of YFe2Ni2.

Cell lengths 7.1570, 7.1570, 2.8063 Å; angles 90.00, 90.00, 90.00 degrees
Space group P4/mbm (No. 127)
Inequivalent atoms, fractional coordinates:
Y  0.0000  0.0000  0.0000 x2
Fe  0.1633  0.3367  0.5000 x4
Ni  0.1254  0.6254  0.0000 x4

Output
ΔE to the lowest computed polymorph: 0.193 eV/atom
calculated formation energy: 92 meV/atom
V: 14.4 Å³/atom

=====

No. 16
VASP calculation (PBE) on a relaxed structure of Zr2CuSb.

Cell lengths 4.1557, 4.9169, 7.9323 Å; angles 90.00, 90.00, 90.00 degrees
Space group Cmmm (No. 65)
Inequivalent atoms, fractional coordinates:
Zr  0.0000  0.0000  0.2252 x4
Cu  0.0000  0.5000  0.0000 x2
Sb  0.0000  0.5000  0.5000 x2

Output
formation energy without anion corrections: -0.20 eV per atom
V: 20.3 Å³/atom

=====

No. 17
VASP calculation (PBE) on a relaxed structure of Li4LaBi2.

Cell lengths 8.4691, 8.4691, 4.6383 Å; angles 90.00, 90.00, 90.00 degrees
Space group P4_2/mnm (No. 136)
Inequivalent atoms, fractional coordinates:
Li  0.0981  0.3410  0.0000 x8
La  0.0000  0.0000  0.5000 x2
Bi  0.2122  0.7878  0.0000 x4

Output
calculated formation energy: -611 meV/atom
V: 23.8 Å³/atom

=====

No. 18
VASP calculation (PBE) on a relaxed structure of Tb2PmBi.

Cell lengths 4.9227, 4.9227, 4.8866 Å; angles 90.00, 90.00, 90.00 degrees
Space group P4/mmm (No. 123)
Inequivalent atoms, fractional coordinates:
Tb  0.0000  0.5000  0.0000 x2
Pm  0.0000  0.0000  0.5000 x1
Bi  0.5000  0.5000  0.5000 x1

Output
ΔE to the lowest computed polymorph: 0.077 eV/atom
calculated formation energy: -379 meV/atom
V: 29.6 Å³/atom

=====

No. 19
VASP calculation (PBE) on a relaxed structure of Al2SeS.

Cell lengths 6.5067, 6.5067, 6.5067 Å; angles 90.00, 90.00, 90.00 degrees
Space group Fm-3m (No. 225)
Inequivalent atoms, fractional coordinates:
Al  0.2500  0.2500  0.2500 x8
Se  0.0000  0.0000  0.0000 x4
S  0.0000  0.0000  0.5000 x4

Output
ΔE to the lowest computed polymorph: 0.233 eV/atom
formation energy without anion corrections: -0.12 eV per atom
V: 17.2 Å³/atom

=====

No. 20
VASP calculation (PBE) on a relaxed structure of Pr2Sm3Hg7.

Cell lengths 5.2818, 23.8082, 5.5010 Å; angles 90.00, 90.00, 90.00 degrees
Space group Cmmm (No. 65)
Inequivalent atoms, fractional coordinates:
Pr  0.0000  0.1435  0.0000 x4
Sm  0.0000  0.3345  0.5000 x4
Sm  0.0000  0.5000  0.5000 x2
Hg  0.0000  0.0000  0.0000 x2
Hg  0.0000  0.0799  0.5000 x4
Hg  0.0000  0.2767  0.0000 x4
Hg  0.0000  0.4273  0.0000 x4

Output
calculated formation energy: -314 meV/atom
V: 28.8 Å³/atom

=====

No. 21
VASP calculation (PBE) on a relaxed structure of HfBCl.

Cell lengths 6.4793, 3.6011, 10.8048 Å; angles 90.00, 106.74, 90.00 degrees
Space group C2/m (No. 12)
Inequivalent atoms, fractional coordinates:
Hf  0.1709  0.0000  0.3527 x4
B  0.1099  0.0000  0.5545 x4
Cl  0.0544  0.5000  0.8167 x4

Output
formation energy without anion corrections: -0.80 eV per atom
V: 20.1 Å³/atom

=====

No. 22
VASP calculation (PBE) on a relaxed structure of ErHg2Pb.

Cell lengths 4.5581, 4.5581, 4.8534 Å; angles 90.00, 90.00, 90.00 degrees
Space group P4/mmm (No. 123)
Inequivalent atoms, fractional coordinates:
Er  0.0000  0.0000  0.0000 x1
Hg  0.0000  0.5000  0.5000 x2
Pb  0.5000  0.5000  0.0000 x1

Output
calculated formation energy: -308 meV/atom
V: 25.2 Å³/atom

=====

No. 23
VASP calculation (PBE) on a relaxed structure of FeIr2Se.

Cell lengths 2.9109, 4.4684, 9.0722 Å; angles 90.00, 90.00, 90.00 degrees
Space group Imm2 (No. 44)
Inequivalent atoms, fractional coordinates:
Fe  0.0000  0.0000  0.0000 x2
Ir  0.0000  0.0000  0.5353 x2
Ir  0.0000  0.5000  0.7616 x2
Se  0.0000  0.5000  0.2616 x2

Output
formation energy without anion corrections: 0.35 eV per atom
V: 14.8 Å³/atom

=====

No. 24
VASP calculation (PBE) on a relaxed structure of Tb7Dy2Ho2.

Cell lengths 8.9137, 9.3910, 8.6260 Å; angles 90.00, 100.96, 90.00 degrees
Space group C2/m (No. 12)
Inequivalent atoms, fractional coordinates:
Tb  0.0000  0.0000  0.0000 x2
Tb  0.1517  0.0000  0.4092 x4
Tb  0.2347  0.3165  0.2086 x8
Dy  0.0000  0.3239  0.5000 x4
Ho  0.1067  0.5000  0.8570 x4

Output
ΔE to the lowest computed polymorph: 0.000 eV/atom
calculated formation energy: 110 meV/atom
V: 32.2 Å³/atom

=====

No. 25
VASP calculation (PBE) on a relaxed structure of RbTcP3.

Cell lengths 4.9638, 4.9638, 4.9638 Å; angles 90.00, 90.00, 90.00 degrees
Space group Pm-3m (No. 221)
Inequivalent atoms, fractional coordinates:
Rb  0.0000  0.0000  0.0000 x1
Tc  0.5000  0.5000  0.5000 x1
P  0.0000  0.0000  0.5000 x3

Output
ΔE to the lowest computed polymorph: 2.663 eV/atom
calculated formation energy: 2905 meV/atom
V: 24.5 Å³/atom

=====

No. 26
VASP calculation (PBE) on a relaxed structure of ReIF3.

Cell lengths 4.3523, 4.3523, 4.3523 Å; angles 90.00, 90.00, 90.00 degrees
Space group Pm-3m (No. 221)
Inequivalent atoms, fractional coordinates:
Re  0.0000  0.0000  0.0000 x1
I  0.5000  0.5000  0.5000 x1
F  0.0000  0.0000  0.5000 x3

Output
ΔE to the lowest computed polymorph: 0.744 eV/atom
formation energy without anion corrections: -0.64 eV per atom
V: 16.5 Å³/atom

=====

Computed values of energy (unit: eV/atom) for the preceding records, in sequence: -4.6348 -3.4795 -7.4576 -4.8129 -6.4530 -7.2740 -4.1505 -3.7854 -3.9437 -6.1326 -4.4871 -6.3956 -2.9884 -2.4710 -6.8980 -6.5248 -3.5171 -4.8517 -3.8893 -2.4660 -6.9555 -2.5265 -7.0687 -4.5054 -2.6073 -4.5608.